1.
Here is AcInFe after structural relaxation from OQMD. Energies are from PBE-GGA.

Results
The value obtained for the energy above the most stable polymorph in this dataset is 0 meV/atom. The calculation puts the volume at 27.244 A^3/atom. Its total magnetization is 1.68 μB/f.u. As for the density: 8.08 g/cm³.

Structure (POSCAR):
```
AcInFe
1.0
0.0000 3.4444 3.4444
3.4444 0.0000 3.4444
3.4444 3.4444 0.0000
Ac In Fe
1 1 1
Direct
0.0000 0.0000 0.0000
0.5000 0.5000 0.5000
0.2500 0.2500 0.2500
```

2.
Here is AcInFe after structural relaxation from OQMD. Energies are from PBE-GGA.

Results
The value obtained for the energy above the most stable polymorph in this dataset is 698 meV/atom. The calculation puts the volume at 30.713 A^3/atom. Its total magnetization is 2.60 μB/f.u. As for the density: 7.17 g/cm³.

Structure (POSCAR):
```
AcInFe
1.0
0.0000 3.5848 3.5848
3.5848 0.0000 3.5848
3.5848 3.5848 0.0000
Ac In Fe
1 1 1
Direct
0.0000 0.0000 0.0000
0.2500 0.2500 0.2500
0.7500 0.7500 0.7500
```

3.
Here is AcLaFe after structural relaxation from OQMD. Energies are from PBE-GGA.

Results
The calculation puts the volume at 29.581 A^3/atom. Its total magnetization is 0.54 μB/f.u. As for the density: 7.89 g/cm³. The formation energy comes out at 0.283 eV per atom.

Structure (POSCAR):
```
AcLaFe
1.0
0.0000 3.5403 3.5403
3.5403 0.0000 3.5403
3.5403 3.5403 0.0000
Ac La Fe
1 1 1
Direct
0.0000 0.0000 0.0000
0.5000 0.5000 0.5000
0.2500 0.2500 0.2500
```

4.
Here is LiAcFe after structural relaxation from OQMD. Energies are from PBE-GGA.

Results
The value obtained for the energy above the most stable polymorph in this dataset is 0 meV/atom. The calculation puts the volume at 24.493 A^3/atom. Its total magnetization is 0.97 μB/f.u. As for the density: 6.55 g/cm³.

Structure (POSCAR):
```
LiAcFe
1.0
0.0000 3.3244 3.3244
3.3244 0.0000 3.3244
3.3244 3.3244 0.0000
Li Ac Fe
1 1 1
Direct
0.0000 0.0000 0.0000
0.5000 0.5000 0.5000
0.7500 0.7500 0.7500
```

Question: Which value of total magnetization does entry 4 give?
Answer: 0.97 μB/f.u.